{"formula": "ReBMo", "functional": "GGA-PBE", "state": "optimized geometry", "lattice": [[6.6756, 0.0000, 0.0000], [0.0000, 2.9983, 0.0000], [0.0000, 0.0000, 7.2667]], "species": ["B", "B", "B", "B", "Mo", "Mo", "Mo", "Mo", "Re", "Re", "Re", "Re"], "frac_coords": [[0.7707, 0.7500, 0.1576], [0.2707, 0.7500, 0.3424], [0.7293, 0.2500, 0.6576], [0.2293, 0.2500, 0.8424], [0.4876, 0.2500, 0.1577], [0.9876, 0.2500, 0.3423], [0.0124, 0.7500, 0.6577], [0.5124, 0.7500, 0.8423], [0.1536, 0.7500, 0.0538], [0.6536, 0.7500, 0.4462], [0.3464, 0.2500, 0.5538], [0.8464, 0.2500, 0.9462]], "e_above_lowest_polymorph_mev_per_atom": 0}